Record 1
First-principles (PBE-GGA) data for crystalline LiVI2 at its relaxed geometry, as listed in Alexandria.

Cell and atoms, written as POSCAR:
```
LiVI2
1.0
0.000 3.727 3.727
3.727 0.000 3.727
3.727 3.727 0.000
I V Li
2 1 1
direct
0.250 0.250 0.250 I
0.750 0.750 0.750 I
0.500 0.500 0.500 V
0.000 0.000 0.000 Li
```

Properties
Energy above the lowest structure with this stoichiometry ... 0.252 eV per atom
Formation energy from raw total energies ... -28.3 meV/atom
DOS at the Fermi energy ... 4.2 states/eV/cell
ρ ... 5.00 g cm⁻³
Size of the total moment ... 4.0 μB/cell

Record 2
First-principles (PBE-GGA) data for crystalline LiVI2 at its relaxed geometry, as listed in Alexandria.

Cell and atoms, written as POSCAR:
```
LiVI2
1.0
-5.088 3.573 1.661
0.002 -2.711 5.837
1.371 5.016 5.877
I V Li
4 2 2
direct
0.622 0.125 0.250 I
0.128 0.625 0.250 I
0.375 0.378 0.750 I
0.875 0.872 0.750 I
0.000 0.000 0.000 V
0.750 0.250 0.500 V
0.500 0.500 0.000 Li
0.250 0.750 0.500 Li
```

Properties
Energy above the lowest structure with this stoichiometry ... 0.000 eV per atom
Formation energy from raw total energies ... -279.9 meV/atom
DOS at the Fermi energy ... 6.4 states/eV/cell
ρ ... 3.91 g cm⁻³
Size of the total moment ... 8.0 μB/cell

Record 3
First-principles (PBE-GGA) data for crystalline Li2VI at its relaxed geometry, as listed in Alexandria.

Cell and atoms, written as POSCAR:
```
Li2VI
1.0
-1.516 0.228 7.748
-1.103 -7.821 0.014
1.540 -4.197 4.450
I V Li
2 2 4
direct
0.000 0.000 0.000 I
0.750 0.250 0.500 I
0.500 0.500 0.000 V
0.250 0.750 0.500 V
0.649 0.125 0.250 Li
0.101 0.625 0.250 Li
0.375 0.351 0.750 Li
0.875 0.899 0.750 Li
```

Properties
Energy above the lowest structure with this stoichiometry ... 0.000 eV per atom
Formation energy from raw total energies ... 358.7 meV/atom
DOS at the Fermi energy ... 9.6 states/eV/cell
ρ ... 3.48 g cm⁻³
Size of the total moment ... 7.6 μB/cell

Record 4
First-principles (PBE-GGA) data for crystalline Li2VI5 at its relaxed geometry, as listed in Alexandria.

Cell and atoms, written as POSCAR:
```
Li2VI5
1.0
-4.934 0.281 -3.449
1.392 -2.332 -7.446
-4.013 -6.199 -0.029
Li V I
2 1 5
direct
0.795 0.500 0.910 Li
0.205 0.500 0.090 Li
0.500 0.500 0.500 V
0.225 0.761 0.789 I
0.514 0.761 0.211 I
0.000 0.500 0.500 I
0.775 0.239 0.211 I
0.486 0.239 0.789 I
```

Properties
Formation energy from raw total energies ... -682.5 meV/atom
DOS at the Fermi energy ... 8.6 states/eV/cell
ρ ... 3.90 g cm⁻³
Size of the total moment ... 2.0 μB/cell